Entry 1:
ZrAsBr2 GGA-PBE optimized geometry; relative energy among the computed polymorphs = 0.481 eV per atom; space-group type = P4/mmm, No. 123
1.0
-1.960 2.551 0.329
-1.514 -1.478 2.446
6.581 4.201 6.613
As Br Zr
1 2 1
Cartesian
3.199 3.687 6.347 As
0.560 0.357 0.562 Br
2.731 1.743 2.744 Br
-0.091 1.587 3.041 Zr

Entry 2:
Ho3AsS2 GGA-PBE optimized geometry; electronic total energy = -6.291 eV/atom; space-group type = Immm, No. 71
1.0
-3.449 -1.369 1.393
2.736 -3.905 2.937
0.736 6.366 2.440
Ho As S
3 1 2
Cartesian
-1.841 -1.397 2.527 Ho
1.864 2.489 4.243 Ho
-1.357 2.499 1.916 Ho
0.011 0.546 3.385 As
-0.471 -3.330 4.019 S
0.494 4.422 2.751 S

Entry 3:
Na5C3N6 GGA-PBE optimized geometry; electronic total energy = -6.365 eV/atom; space-group type = Im-3m, No. 229
1.0
-1.804 3.660 -4.790
-0.307 -6.038 -1.743
-3.803 0.959 4.920
Na C N
5 3 6
Cartesian
0.000 0.000 0.000 Na
-1.902 0.479 2.460 Na
-0.153 -3.019 -0.871 Na
-0.902 1.830 -2.395 Na
-2.957 -0.710 -0.806 Na
-1.055 -1.189 -3.266 C
-2.804 2.309 0.065 C
-2.055 -2.540 1.589 C
-1.415 -1.595 -4.380 N
-1.848 1.522 0.043 N
-1.354 -1.674 1.047 N
-0.696 -0.784 -2.153 N
-3.759 3.097 0.087 N
-2.756 -3.406 2.130 N

Entry 4:
BeVCd2 GGA-PBE optimized geometry; space-group type = I-42d, No. 122; calculated formation energy = 0.6517 eV/atom
1.0
-0.186 -2.202 -7.045
-6.648 -3.012 1.117
-4.570 -0.316 -3.649
Be Cd V
2 4 2
Cartesian
-3.417 -2.607 -2.964 Be
-7.318 -2.968 -2.748 Be
-2.079 -1.705 -4.771 Cd
-5.332 -2.363 -1.499 Cd
-6.373 -2.366 -4.896 Cd
-9.026 -4.627 -7.988 Cd
0.000 0.000 0.000 V
-4.087 -2.563 -6.829 V

Entry 5:
PmSmI4 GGA-PBE optimized geometry; electronic total energy = -3.799 eV/atom; space-group type = I-4m2, No. 119
1.0
6.224 0.000 0.000
0.000 6.224 0.000
-3.112 -3.112 6.033
Pm Sm I
1 1 4
Cartesian
3.112 3.112 0.000 Pm
0.000 3.112 3.017 Sm
3.112 0.000 5.871 I
3.112 3.112 3.192 I
3.112 0.000 0.162 I
0.000 0.000 2.841 I

Entry 6:
PrYHgBi GGA-PBE optimized geometry; space-group type = F-43m, No. 216; calculated formation energy = -0.5498 eV/atom
1.0
5.468 0.000 0.000
2.734 4.735 0.000
2.734 1.578 4.464
Pr Y Bi Hg
1 1 1 1
Cartesian
0.000 0.000 0.000 Pr
5.468 3.157 2.232 Y
2.734 1.578 1.116 Bi
8.201 4.735 3.348 Hg

Entry 7:
ReI4 GGA-PBE optimized geometry; relative energy among the computed polymorphs = 0.543 eV per atom; space-group type = Pm-3m, No. 221
1.0
-2.485 4.478 1.925
-4.685 -1.599 -2.329
-1.344 -2.707 4.561
I Re
4 1
Cartesian
0.000 0.000 0.000 I
-1.914 0.885 3.243 I
-3.015 -2.153 1.116 I
-3.585 1.440 -0.202 I
-4.257 0.086 2.078 Re

Entry 8:
Ce2GaSi4Ni3 GGA-PBE optimized geometry; electronic total energy = -6.150 eV/atom; space-group type = P-4m2, No. 115
1.0
4.056 0.000 0.000
0.000 4.056 0.000
0.000 0.000 9.684
Ce Ga Si Ni
2 1 4 3
Cartesian
2.028 0.000 2.347 Ce
0.000 2.028 7.337 Ce
2.028 2.028 4.842 Ga
2.028 2.028 0.000 Si
0.000 0.000 0.000 Si
2.028 0.000 6.248 Si
0.000 2.028 3.436 Si
0.000 0.000 4.842 Ni
2.028 0.000 8.541 Ni
0.000 2.028 1.143 Ni

Entry 9:
Pm2Al3Hg GGA-PBE optimized geometry; relative energy among the computed polymorphs = 0.000 eV per atom; space-group type = Pmm2, No. 25; calculated formation energy = -0.4813 eV/atom
1.0
-3.341 -0.158 1.629
-1.466 -2.931 -3.289
2.472 -6.245 4.464
Pm Al Hg
2 3 1
Cartesian
1.722 -7.668 2.789 Pm
1.254 -3.168 2.265 Pm
0.390 -5.283 4.534 Al
-1.266 -1.101 1.545 Al
-0.747 -5.728 2.160 Al
-1.581 -3.622 0.655 Hg

Entry 10:
ZnPt5 GGA-PBE optimized geometry; space-group type = P4/mmm, No. 123; calculated formation energy = -0.2044 eV/atom
1.0
2.794 0.000 0.000
0.000 2.794 0.000
0.000 0.000 11.778
Pt Zn
5 1
Cartesian
0.000 0.000 9.946 Pt
0.000 0.000 1.832 Pt
1.397 1.397 7.893 Pt
1.397 1.397 3.885 Pt
0.000 0.000 5.889 Pt
1.397 1.397 0.000 Zn

Entry 11:
MgOsCl2 GGA-PBE optimized geometry; relative energy among the computed polymorphs = 1.119 eV per atom; space-group type = F-43m, No. 216
1.0
4.781 0.000 0.000
2.390 4.140 0.000
2.390 1.380 3.903
Cl Mg Os
2 1 1
Cartesian
0.000 0.000 0.000 Cl
7.171 4.140 2.927 Cl
4.781 2.760 1.952 Mg
2.390 1.380 0.976 Os

Entry 12:
CuPIr GGA-PBE optimized geometry; relative energy among the computed polymorphs = 0.144 eV per atom; space-group type = Imm2, No. 44; calculated formation energy = -0.0250 eV/atom
1.0
-2.761 -2.383 3.129
-0.117 -4.772 0.557
2.820 3.888 -0.162
Cu Ir P
1 1 1
Cartesian
-0.004 -0.009 0.005 Cu
-0.892 -2.217 1.142 Ir
-1.982 -4.928 2.539 P

Entry 13:
Ac2BS6 GGA-PBE optimized geometry; electronic total energy = -4.976 eV/atom; space-group type = P4_2/mnm, No. 136
1.0
-2.862 -5.311 1.234
5.399 -2.955 -0.199
1.541 1.996 12.165
Ac B S
4 2 12
Cartesian
0.511 0.663 4.038 Ac
2.550 -2.473 10.637 Ac
1.528 -3.798 2.562 Ac
1.029 1.334 8.127 Ac
0.000 0.000 0.000 B
2.039 -3.135 6.600 B
1.409 -1.972 4.878 S
2.278 -4.805 5.233 S
5.328 -1.616 10.667 S
-0.101 -3.165 11.608 S
4.179 -3.105 1.591 S
-1.250 -4.654 2.533 S
1.800 -1.465 7.967 S
2.670 -4.298 8.322 S
0.599 -1.950 0.244 S
1.939 -6.316 0.791 S
3.988 -2.579 6.262 S
0.090 -3.691 6.938 S

Entry 14:
ErTmTe GGA-PBE optimized geometry; relative energy among the computed polymorphs = 0.046 eV per atom; space-group type = I4mm, No. 107
1.0
-0.575 -3.682 -0.835
-0.677 -0.730 3.687
-4.939 3.259 -2.239
Tm Te Er
1 1 1
Cartesian
-3.602 0.682 -0.527 Tm
-2.490 -1.853 1.153 Te
-0.099 0.019 -0.014 Er

Entry 15:
HgTe2Pb GGA-PBE optimized geometry; electronic total energy = -2.475 eV/atom; space-group type = Cmm2, No. 35
1.0
-0.408 2.857 -1.500
1.115 -2.021 -2.291
-11.119 -3.025 -2.741
Hg Pb Te
1 1 2
Cartesian
-5.613 -1.527 -1.384 Hg
-7.904 -1.829 -3.931 Pb
-10.861 -2.955 -2.677 Te
-2.712 -0.416 -2.651 Te

Entry 16:
Np2Ni4As3P GGA-PBE optimized geometry; space-group type = P-4m2, No. 115; calculated formation energy = -0.5480 eV/atom
1.0
4.141 0.000 0.000
0.000 4.141 0.000
0.000 0.000 9.198
Np Ni As P
2 4 3 1
Cartesian
2.071 0.000 2.342 Np
0.000 2.071 6.856 Np
2.071 2.071 0.000 Ni
0.000 0.000 0.000 Ni
2.071 0.000 5.620 Ni
0.000 2.071 3.578 Ni
0.000 0.000 4.599 As
2.071 0.000 7.956 As
0.000 2.071 1.242 As
2.071 2.071 4.599 P

Entry 17:
InSe GGA-PBE optimized geometry; electronic total energy = -3.432 eV/atom; space-group type = Cm, No. 8
1.0
6.406 -4.487 1.371
7.563 -2.024 -1.329
5.600 2.346 4.539
In Se
3 3
Cartesian
10.222 -0.008 4.371 In
8.195 -2.697 1.049 In
12.052 -2.809 2.598 In
5.495 2.026 4.202 Se
2.930 0.682 1.878 Se
6.316 -0.921 1.865 Se

Entry 18:
TbErMgPb GGA-PBE optimized geometry; space-group type = F-43m, No. 216; calculated formation energy = -0.2622 eV/atom
1.0
5.354 0.000 0.000
2.677 4.637 0.000
2.677 1.546 4.372
Pb Mg Tb Er
1 1 1 1
Cartesian
5.354 3.091 2.186 Pb
0.000 0.000 0.000 Mg
8.032 4.637 3.279 Tb
2.677 1.546 1.093 Er

Entry 19:
POsBr2 GGA-PBE optimized geometry; relative energy among the computed polymorphs = 1.391 eV per atom; space-group type = F-43m, No. 216
1.0
-4.574 0.525 -0.707
-2.040 -2.040 -3.657
-2.885 -3.598 0.651
Br Os P
2 1 1
Cartesian
0.000 0.000 0.000 Br
-2.375 -1.278 -0.928 Br
-4.750 -2.557 -1.857 Os
-7.125 -3.835 -2.785 P

Entry 20:
Tm4TaN5 GGA-PBE optimized geometry; electronic total energy = -8.807 eV/atom; space-group type = I4, No. 79
1.0
0.676 0.166 4.655
-1.565 -4.792 2.777
5.175 -1.864 1.694
Tm Ta N
4 1 5
Cartesian
3.794 -3.322 4.331 Tm
2.414 -4.828 6.965 Tm
1.873 -1.662 2.172 Tm
0.494 -3.168 4.805 Tm
0.001 0.000 0.007 Ta
4.209 -3.190 6.646 N
2.126 -4.989 4.633 N
2.162 -1.501 4.504 N
0.079 -3.300 2.491 N
0.338 0.083 2.329 N

Entry 21:
Pu2AlCu GGA-PBE optimized geometry; space-group type = P4/mmm, No. 123; calculated formation energy = 0.1187 eV/atom
1.0
-0.829 3.182 3.801
-3.471 -0.158 -0.624
-0.275 -2.728 2.224
Al Cu Pu
1 1 2
Cartesian
-2.288 0.147 2.700 Al
-0.415 1.591 1.901 Cu
-0.138 -1.364 1.112 Pu
-1.736 -0.079 -0.312 Pu

Entry 22:
La2TaBeSe GGA-PBE optimized geometry; electronic total energy = -5.470 eV/atom; space-group type = P4/mmm, No. 123
1.0
-2.888 4.722 1.216
0.057 -1.149 4.598
4.875 2.816 0.644
Be La Se Ta
1 2 1 1
Cartesian
1.022 3.194 3.229 Be
2.438 1.408 0.322 La
-1.444 2.361 0.608 La
0.000 0.000 0.000 Se
0.028 -0.575 2.299 Ta

Entry 23:
CsAcCdCl6 GGA-PBE optimized geometry; electronic total energy = -3.732 eV/atom; space-group type = Imma, No. 74
1.0
10.494 0.000 0.000
0.000 9.879 0.000
-5.247 -4.940 7.184
Cs Ac Cd Cl
2 2 2 12
Cartesian
5.247 2.470 3.983 Cs
0.000 2.470 3.201 Cs
2.623 -2.470 3.592 Ac
-2.623 -2.470 3.592 Ac
5.247 4.940 0.000 Cd
5.247 0.000 0.000 Cd
0.000 2.470 6.584 Cl
5.247 -2.470 4.861 Cl
7.145 -0.226 1.925 Cl
3.348 5.165 1.925 Cl
3.348 -0.226 1.925 Cl
7.145 5.165 1.925 Cl
5.247 2.470 0.600 Cl
0.000 7.409 2.323 Cl
-1.898 5.165 5.259 Cl
1.898 -0.226 5.259 Cl
1.898 5.165 5.259 Cl
-1.898 -0.226 5.259 Cl

Entry 24:
MgCd7In12 GGA-PBE optimized geometry; space-group type = R-3, No. 148; calculated formation energy = 0.0301 eV/atom
1.0
0.109 -8.277 0.710
5.535 2.494 5.671
-7.294 2.127 3.361
Mg Cd In
1 7 12
Cartesian
0.000 0.000 0.000 Mg
-1.899 1.590 8.412 Cd
2.969 1.436 4.299 Cd
-4.633 0.675 2.726 Cd
-0.825 -1.828 4.871 Cd
2.984 -4.331 7.017 Cd
-4.619 -5.092 5.444 Cd
0.250 -5.246 1.330 Cd
-2.021 -4.514 3.396 In
-4.074 -2.141 4.468 In
-1.463 -4.536 6.615 In
-2.165 -1.527 1.889 In
1.114 -4.456 4.478 In
1.124 -2.076 2.240 In
-2.773 -1.581 7.503 In
-2.764 0.799 5.265 In
0.516 -2.129 7.854 In
-0.187 0.880 3.127 In
2.424 -1.516 5.274 In
0.371 0.857 6.346 In

Entry 25:
Th4FePS2 GGA-PBE optimized geometry; electronic total energy = -7.744 eV/atom; space-group type = P2/m, No. 10
1.0
3.971 0.000 0.000
0.000 7.228 0.161
0.000 -2.489 6.713
Th Fe P S
4 1 1 2
Cartesian
1.985 1.220 1.673 Th
1.985 3.519 5.200 Th
0.000 0.048 5.255 Th
0.000 4.691 1.619 Th
1.985 3.614 0.080 Fe
0.000 0.000 0.000 P
1.985 -1.245 3.356 S
0.000 2.369 3.437 S

| no. | calculated volume (A^3/atom) | Fermi-level density of states (states/eV per cell) |
| --- | --- | --- |
| 1 | 26.75 | 3.03 |
| 2 | 21.96 | 2.00 |
| 3 | 13.70 | 7.43 |
| 4 | 18.09 | 5.88 |
| 5 | 38.95 | 3.03 |
| 6 | 28.89 | 3.47 |
| 7 | 32.75 | 6.13 |
| 8 | 15.93 | 6.14 |
| 9 | 23.21 | 3.29 |
| 10 | 15.32 | 9.81 |
| 11 | 19.31 | 5.01 |
| 12 | 13.61 | 1.08 |
| 13 | 26.17 | 16.38 |
| 14 | 27.82 | 1.53 |
| 15 | 30.20 | 2.05 |
| 16 | 15.77 | 20.50 |
| 17 | 31.40 | 1.09 |
| 18 | 27.14 | 4.24 |
| 19 | 17.87 | 3.68 |
| 20 | 12.99 | 2.03 |
| 21 | 15.66 | 7.05 |
| 22 | 30.44 | 2.89 |
| 23 | 41.37 | 0.00 |
| 24 | 25.86 | 7.36 |
| 25 | 24.28 | 6.38 |